This record from Alexandria describes a relaxed structure of Sc2CuSi2Rh5. The functional is PBE.

Energy relative to the elements, uncorrected (eV/f.u.): -8.500
E (eV/atom): -7.286
Mass density (g/cm3): 8.0
SG: P4/mbm (127)

Cell and atoms, written as POSCAR:
```
Sc2CuSi2Rh5
1.0
9.4768 0.0000 0.0000
0.0000 9.4768 0.0000
0.0000 0.0000 3.3680
Sc Cu Si Rh
4 2 4 10
direct
0.1715 0.3285 0.0000
0.3285 0.8285 0.0000
0.6715 0.1715 0.0000
0.8285 0.6715 0.0000
0.0000 0.0000 0.0000
0.5000 0.5000 0.0000
0.1297 0.6297 0.0000
0.3703 0.1297 0.0000
0.6297 0.8703 0.0000
0.8703 0.3703 0.0000
0.0000 0.5000 0.5000
0.0688 0.7943 0.5000
0.2057 0.0688 0.5000
0.2943 0.5688 0.5000
0.4312 0.2943 0.5000
0.5000 0.0000 0.5000
0.5688 0.7057 0.5000
0.7057 0.4312 0.5000
0.7943 0.9312 0.5000
0.9312 0.2057 0.5000
```

This record from Alexandria describes a relaxed structure of ScCuSnRh. The functional is PBE.

Formation energy (eV per formula unit): -2.360
E (eV/atom): -6.036
Mass density (g/cm3): 8.1
SG: F-43m (216)

Cell and atoms, written as POSCAR:
```
ScCuSnRh
1.0
0.0000 3.2311 3.2311
3.2311 0.0000 3.2311
3.2311 3.2311 0.0000
Sc Cu Sn Rh
1 1 1 1
direct
0.0000 0.0000 0.0000
0.7500 0.7500 0.7500
0.5000 0.5000 0.5000
0.2500 0.2500 0.2500
```

This record from Alexandria describes a relaxed structure of ScTaCu2Rh. The functional is PBE.

Formation energy (eV per formula unit): 5.493
E (eV/atom): -5.647
Mass density (g/cm3): 8.3
SG: P4/mmm (123)

Cell and atoms, written as POSCAR:
```
ScTaCu2Rh
1.0
4.4877 0.0000 0.0000
0.0000 4.4877 0.0000
0.0000 0.0000 4.5188
Sc Ta Cu Rh
1 1 2 1
direct
0.0000 0.0000 0.0000
0.5000 0.5000 0.5000
0.0000 0.5000 0.0000
0.5000 0.0000 0.0000
0.0000 0.0000 0.5000
```

This record from Alexandria describes a relaxed structure of Sc4ZnCu2Rh. The functional is PBE.

Formation energy (eV per formula unit): -3.944
E (eV/atom): -5.761
Mass density (g/cm3): 5.6
SG: R-3m (166)

Cell and atoms, written as POSCAR:
```
Sc4ZnCu2Rh
1.0
2.3148 1.3365 7.5893
-2.3148 1.3365 7.5893
0.0000 -2.6729 7.5893
Sc Zn Cu Rh
4 1 2 1
direct
0.1216 0.1216 0.1216
0.3723 0.3723 0.3723
0.6277 0.6277 0.6277
0.8784 0.8784 0.8784
0.5000 0.5000 0.5000
0.2463 0.2463 0.2463
0.7537 0.7537 0.7537
0.0000 0.0000 0.0000
```